Below is a relaxed structure of AuBrCl2, with properties calculated at the GGA-PBE level.

The structure in extended XYZ format:
```
4
Lattice="0.0000 3.5487 3.5487 3.5487 0.0000 3.5487 3.5487 3.5487 0.0000" Properties=species:S:1:pos:R:3 pbc="T T T"
Cl 5.3231 5.3231 5.3231
Cl 1.7744 1.7744 1.7744
Au 3.5487 3.5487 3.5487
Br 0.0000 0.0000 0.0000
```

Properties
SG = No. 225
Polymorph energy (0 for the lowest one) = 821.8 meV per atom
D(E_F) = 1.11 states/eV/atom

Below is a relaxed structure of Au2BrCl6, with properties calculated at the GGA-PBE level.

The structure in extended XYZ format:
```
18
Lattice="-4.1617 6.7386 -1.1913 -3.8827 -3.1290 -6.7157 -6.8643 -3.1472 3.5976" Properties=species:S:1:pos:R:3 pbc="T T T"
Cl -8.0876 3.7288 -2.2825
Cl -5.7013 -1.1346 1.5583
Cl -8.9281 0.1027 -2.5319
Cl -6.0700 2.2451 -4.9595
Cl -9.2074 1.5969 -5.8677
Cl -4.5340 4.6067 -2.7009
Cl -11.7095 -0.7705 -4.7848
Cl -6.8211 -3.2665 -2.0269
Cl -10.3747 -4.1443 -1.6085
Cl -5.9806 0.3597 -1.7775
Cl -8.8387 -1.7828 0.6501
Cl -3.1992 1.2328 0.4754
Au -5.5262 2.5335 -2.3531
Au -9.3824 -2.0712 -1.9563
Au -3.8509 -0.8382 -0.3549
Au -11.0578 1.3006 -3.9545
Br -7.1753 1.9239 -7.0163
Br -7.7333 -1.4615 2.7069
```

Properties
SG = No. 15
D(E_F) = 0.40 states/eV/atom

Below is a relaxed structure of AuBr3Cl, with properties calculated at the GGA-PBE level.

The structure in extended XYZ format:
```
5
Lattice="5.2617 0.0000 0.0000 0.0000 5.2617 0.0000 0.0000 0.0000 5.2617" Properties=species:S:1:pos:R:3 pbc="T T T"
Au 0.0000 0.0000 0.0000
Cl 2.6308 2.6308 2.6308
Br 0.0000 0.0000 2.6308
Br 2.6308 0.0000 0.0000
Br 0.0000 2.6308 0.0000
```

Properties
SG = No. 221
Polymorph energy (0 for the lowest one) = 233.7 meV per atom
D(E_F) = 1.38 states/eV/atom

Below is a relaxed structure of AuBrCl, with properties calculated at the GGA-PBE level.

The structure in extended XYZ format:
```
3
Lattice="-7.1894 0.2503 -2.2873 -6.1618 -4.2511 -0.9711 5.8537 3.1749 3.5547" Properties=species:S:1:pos:R:3 pbc="T T T"
Br -4.9008 -1.4686 -1.1960
Cl -8.2983 -2.4867 -2.0252
Au -0.1521 -0.0456 -0.0371
```

Properties
SG = No. 44
Polymorph energy (0 for the lowest one) = 426.4 meV per atom
D(E_F) = 0.24 states/eV/atom

Below is a relaxed structure of AuBrCl2, with properties calculated at the GGA-PBE level.

The structure in extended XYZ format:
```
4
Lattice="-1.9687 -2.8323 3.2295 4.4397 0.7951 -1.4085 0.7400 6.0210 5.7316" Properties=species:S:1:pos:R:3 pbc="T T T"
Br 1.7664 3.3006 5.0221
Au 0.3757 3.0566 2.9097
Cl 0.7087 5.7664 5.4893
Cl 1.4703 0.8916 2.7289
```

Properties
SG = No. 35
Polymorph energy (0 for the lowest one) = 166.6 meV per atom

Below is a relaxed structure of Au5Br12Cl3, with properties calculated at the GGA-PBE level.

The structure in extended XYZ format:
```
80
Lattice="-6.0452 -12.8107 5.2513 0.2638 -0.3758 -15.1005 14.0931 1.4398 5.2486" Properties=species:S:1:pos:R:3 pbc="T T T"
Au 4.1559 -5.8733 -2.3003
Au 0.4812 -3.3515 -11.2440
Au 7.8306 -8.3952 6.6434
Au -2.8907 -6.5933 -4.9246
Au 8.7511 -7.0287 -3.4508
Au 4.7271 -1.3433 -8.7007
Au 0.1319 -0.1879 -7.5502
Au 0.0000 0.0000 0.0000
Au -0.0241 -7.9756 -8.6187
Au 7.0465 0.7199 2.6243
Au 5.4452 -10.3644 -0.9065
Au 7.1785 0.5320 -4.9260
Au -3.0226 -6.4054 2.6257
Au 0.9159 -9.3030 -3.5311
Au 7.3958 -2.4437 -1.0695
Au -0.4393 -4.7180 -1.1498
Au 2.8666 -1.3823 -3.6941
Au 3.5846 -10.4034 4.1002
Au 4.0240 -5.6854 5.2500
Au 8.3359 -3.7711 4.0181
Br 3.2668 -3.9399 -3.8991
Br 2.0537 -10.6811 -5.4152
Br 1.8897 -10.4784 2.1342
Br -0.0998 -10.5684 -8.4970
Br 6.1449 -5.1367 3.7382
Br 1.1961 -1.7219 -5.6531
Br 13.1044 -0.7401 4.0844
Br 3.5113 -7.8301 3.7592
Br 4.8005 -3.9166 -8.3598
Br 2.4961 -4.2040 3.6512
Br 1.9631 -5.6431 -0.8092
Br 6.2580 -1.0656 0.8146
Br 0.2320 -10.3279 -1.2452
Br 3.1421 -11.5394 6.3930
Br 7.1157 -10.0248 1.0525
Br 8.4116 -1.1782 3.8965
Br -4.7927 -11.0066 -8.6850
Br -1.4824 -7.9041 4.1962
Br 9.7942 -3.8426 -8.7967
Br 6.4221 -1.2683 -6.7347
Br -1.5545 -8.5119 -3.6524
Br 12.2909 -3.1466 -6.0631
Br 5.8157 -7.5426 -8.2518
Br 6.9549 -9.8573 8.6028
Br 8.0798 -1.4188 -3.3554
Br -3.9791 -8.6001 1.4625
Br -3.5288 -12.7917 -3.4635
Br -1.6583 -4.7577 -3.4424
Br 11.8405 1.0450 -1.1371
Br 5.1697 -0.2073 -10.9936
Br -1.2544 -12.4505 1.4890
Br -0.3898 -2.3504 -9.0118
Br 2.1669 -6.6100 -8.3388
Br -0.9449 -6.4439 -6.7346
Br 5.0449 -7.8068 -0.7015
Br 9.5662 0.7038 -6.0896
Br -1.0735 -6.2912 0.8165
Br 9.8662 -3.2348 -0.9482
Br 9.2566 -5.3028 2.1341
Br 2.2126 -0.2276 -1.4620
Br 6.3487 -6.1036 -3.7914
Br 5.3792 -4.0556 -0.7890
Br 2.9325 -7.6911 -3.8116
Br 9.3853 -5.4555 -5.4171
Br 8.7015 -9.3963 4.4112
Br 6.0991 -11.5191 -3.1386
Br 1.3568 -1.8894 -13.2034
Br 9.9700 -6.9890 -1.1582
Cl 1.5726 -7.5607 1.4752
Cl 10.0450 -0.8503 -8.6201
Cl 1.4212 -4.6789 -6.1564
Cl 3.8066 -2.7097 1.3935
Cl -2.6733 -9.5690 -1.0681
Cl 6.8905 -7.0677 1.5558
Cl -1.7333 -10.8964 4.0195
Cl 10.9851 -2.1777 -3.5325
Cl 6.7391 -4.1860 -6.0758
Cl -3.3300 -11.3113 -6.0744
Cl 11.6418 -0.4354 1.4738
Cl 4.5052 -9.0370 -5.9941
```

Properties
SG = No. 230
D(E_F) = 1.27 states/eV/atom

Below is a relaxed structure of AuBr4Cl, with properties calculated at the GGA-PBE level.

The structure in extended XYZ format:
```
12
Lattice="6.4924 0.0000 -0.1158 0.0000 8.0248 0.0000 -1.7836 -4.0124 9.5104" Properties=species:S:1:pos:R:3 pbc="T T T"
Cl -0.2947 0.0000 3.4034
Cl 5.0035 4.0124 5.9912
Br 2.5941 2.2895 2.4632
Br 0.4106 4.0124 5.0718
Br 0.0000 5.7406 0.0000
Br 0.0000 2.2842 0.0000
Br 2.5941 5.7352 2.4632
Br 2.1147 -1.7229 6.9314
Br 4.2982 0.0000 4.3228
Br 2.1147 1.7229 6.9314
Au 1.3453 4.0124 1.2650
Au 3.3635 0.0000 8.1296
```

Properties
SG = No. 12
Polymorph energy (0 for the lowest one) = 0.0 meV per atom

Below is a relaxed structure of AuBrCl, with properties calculated at the GGA-PBE level.

The structure in extended XYZ format:
```
12
Lattice="13.4338 0.0000 0.0000 0.0000 4.7550 -0.0388 0.0000 1.5881 5.8985" Properties=species:S:1:pos:R:3 pbc="T T T"
Au 11.6665 2.2663 5.7217
Au 1.7673 4.0768 0.1381
Au 8.4842 3.8498 2.7530
Au 4.9496 2.4933 3.1067
Br 7.1426 2.3867 4.4247
Br 0.4257 2.3729 4.4037
Br 6.2912 3.9564 1.4350
Br 13.0081 3.9702 1.4561
Cl 3.8140 5.8287 4.6965
Cl 9.6199 0.5144 1.1633
Cl 10.5309 3.6860 4.0931
Cl 2.9030 2.6571 1.7666
```

Properties
SG = No. 14
Polymorph energy (0 for the lowest one) = 0.0 meV per atom
D(E_F) = 0.40 states/eV/atom

Below is a relaxed structure of AuBr3Cl, with properties calculated at the GGA-PBE level.

The structure in extended XYZ format:
```
10
Lattice="5.8273 -1.3593 0.0000 0.8696 5.9375 0.0000 0.0000 -0.0001 7.9241" Properties=species:S:1:pos:R:3 pbc="T T T"
Br 3.5210 0.3190 6.3582
Br 6.4127 3.2932 6.3582
Br 3.3132 3.3508 0.4151
Br 0.7933 1.6209 4.3770
Br 6.4126 3.2933 2.3961
Br 3.5210 0.3191 2.3961
Au 5.3950 4.7716 0.4151
Au 5.4083 4.7783 4.3772
Cl 0.6558 1.5292 0.4150
Cl 3.4507 3.4425 4.3773
```

Properties
SG = No. 11
Polymorph energy (0 for the lowest one) = 0.0 meV per atom
D(E_F) = 0.89 states/eV/atom

Below is a relaxed structure of Au2Br3Cl, with properties calculated at the GGA-PBE level.

The structure in extended XYZ format:
```
12
Lattice="-1.8234 -0.7212 4.3248 0.5148 -9.4278 -9.5407 7.8546 -1.3589 1.6666" Properties=species:S:1:pos:R:3 pbc="T T T"
Au 3.9828 -6.7516 -4.3418
Au 1.2122 -1.3001 -0.5205
Au 5.3339 -10.2078 -3.0288
Au 2.5632 -4.7563 0.7925
Br -0.0878 -8.9026 -5.2914
Br 5.4273 -7.7232 -2.6056
Br 0.7108 -6.7426 -1.8058
Br 5.8353 -4.7654 -1.7435
Br 6.6339 -2.6053 1.7422
Br 1.1188 -3.7848 -0.9436
Cl 4.9448 -9.5448 -6.6960
Cl 1.6013 -1.9631 3.1467
```

Properties
SG = No. 2
D(E_F) = 0.00 states/eV/atom

Below is a relaxed structure of AuBrCl, with properties calculated at the GGA-PBE level.

The structure in extended XYZ format:
```
3
Lattice="-4.3060 -1.7098 -1.2601 -2.6253 -2.4682 3.1731 -3.9865 1.9399 1.8432" Properties=species:S:1:pos:R:3 pbc="T T T"
Cl 0.0000 0.0000 0.0000
Au -5.4589 -1.1191 1.8781
Br -8.1883 -1.6786 2.8171
```

Properties
SG = No. 216
Polymorph energy (0 for the lowest one) = 758.2 meV per atom
D(E_F) = 1.80 states/eV/atom

Below is a relaxed structure of Au2Br2Cl, with properties calculated at the GGA-PBE level.

The structure in extended XYZ format:
```
10
Lattice="-5.5682 1.5651 4.4062 2.7686 -4.4180 5.0680 4.6370 6.2021 -2.3424" Properties=species:S:1:pos:R:3 pbc="T T T"
Cl 0.2114 0.3118 0.1563
Cl 3.2143 0.4906 3.8877
Au 0.1804 2.1142 1.7445
Au 3.7124 2.8322 3.6854
Au 1.9902 5.5803 0.5329
Au 2.2849 1.5227 0.0791
Br 1.0375 4.0705 2.9816
Br 0.1305 -1.2118 6.5947
Br -1.1999 0.9113 4.1593
Br 3.9299 3.2575 0.6929
```

Properties
SG = No. 109
D(E_F) = 1.23 states/eV/atom

Below is a relaxed structure of AuBrCl2, with properties calculated at the GGA-PBE level.

The structure in extended XYZ format:
```
4
Lattice="-4.9338 -0.1186 0.2416 -2.2370 -2.5461 3.5955 -2.3542 2.3935 3.6254" Properties=species:S:1:pos:R:3 pbc="T T T"
Au -4.7625 -0.1356 3.7312
Cl 0.0000 0.0000 0.0000
Cl -2.3812 -0.0678 1.8656
Br -7.1437 -0.2034 5.5968
```

Properties
SG = No. 216
Polymorph energy (0 for the lowest one) = 770.6 meV per atom
D(E_F) = 1.57 states/eV/atom

Below is a relaxed structure of AuBrCl2, with properties calculated at the GGA-PBE level.

The structure in extended XYZ format:
```
4
Lattice="4.7198 -0.1240 0.0000 -3.2466 3.4280 0.0000 0.0000 0.0000 8.1310" Properties=species:S:1:pos:R:3 pbc="T T T"
Cl 0.0000 0.0000 3.6641
Cl 0.0000 0.0000 0.4014
Au 0.7366 1.6520 2.0327
Br 0.7366 1.6520 6.0982
```

Properties
SG = No. 65
Polymorph energy (0 for the lowest one) = 237.9 meV per atom
D(E_F) = 0.36 states/eV/atom

Below is a relaxed structure of AuBrCl2, with properties calculated at the GGA-PBE level.

The structure in extended XYZ format:
```
4
Lattice="7.8332 0.0144 0.0087 6.8635 3.7752 0.0087 6.8635 1.7697 3.3347" Properties=species:S:1:pos:R:3 pbc="T T T"
Br 16.1701 4.1695 2.5140
Cl 21.0840 5.4365 3.2780
Cl 11.2562 2.9024 1.7500
Au 5.3900 1.3898 0.8380
```

Properties
SG = No. 166
Polymorph energy (0 for the lowest one) = 421.7 meV per atom
D(E_F) = 1.49 states/eV/atom

Below is a relaxed structure of AuBrCl2, with properties calculated at the GGA-PBE level.

The structure in extended XYZ format:
```
8
Lattice="7.5744 -1.8740 -0.3688 -2.8667 5.3749 1.1950 -1.4968 0.2393 11.2931" Properties=species:S:1:pos:R:3 pbc="T T T"
Cl -0.8940 3.8216 1.3596
Cl 4.1049 -0.0814 10.7597
Cl 1.8075 0.4003 0.6054
Cl 1.4034 3.3400 11.5138
Br 4.2234 0.5003 3.7502
Br -1.0125 3.2399 8.3691
Au -2.1817 2.8071 6.2440
Au 3.0388 -0.8173 5.4621
```

Properties
SG = No. 2
Polymorph energy (0 for the lowest one) = 186.4 meV per atom
D(E_F) = 0.01 states/eV/atom

Below is a relaxed structure of AuBrCl2, with properties calculated at the GGA-PBE level.

The structure in extended XYZ format:
```
16
Lattice="-4.6817 -4.7531 3.4267 5.1212 -3.0156 2.8141 -4.3099 9.0992 6.7327" Properties=species:S:1:pos:R:3 pbc="T T T"
Cl -0.3588 -4.8043 4.3368
Cl -2.3375 2.7229 6.6173
Cl -7.3494 3.5474 9.1213
Cl -3.5117 6.1349 8.6367
Cl 3.4790 -2.2169 3.8522
Cl -5.5427 0.7776 6.6389
Cl -1.5330 -1.3924 6.3562
Cl 1.6722 0.5529 6.3346
Au -5.4754 4.8275 8.8335
Au -1.5741 4.1203 4.9747
Au -2.2963 -2.7898 7.9988
Au 1.6049 -3.4970 4.1400
Br -4.3612 0.0177 9.7841
Br -2.8240 -1.0517 3.5887
Br 0.4907 1.3128 3.1894
Br -1.0464 2.3822 9.3847
```

Properties
SG = No. 14
Polymorph energy (0 for the lowest one) = 0.0 meV per atom

Below is a relaxed structure of AuBr2Cl6, with properties calculated at the GGA-PBE level.

The structure in extended XYZ format:
```
9
Lattice="-2.3082 1.2557 3.7208 5.6212 -9.6306 -1.7974 4.2237 9.7052 3.7609" Properties=species:S:1:pos:R:3 pbc="T T T"
Au 0.0000 0.0000 0.0000
Cl 5.6067 -2.9245 1.2064
Cl 5.6137 0.6425 4.6215
Cl 1.9299 4.2548 4.4779
Cl 1.8940 -1.4992 3.4590
Cl 5.6427 2.8294 2.2254
Cl 1.9229 0.6877 1.0628
Br 3.8699 7.9712 5.4808
Br 3.6667 -6.6410 0.2036
```

Properties
SG = No. 2
D(E_F) = 1.07 states/eV/atom

Below is a relaxed structure of AuBrCl2, with properties calculated at the GGA-PBE level.

The structure in extended XYZ format:
```
4
Lattice="2.3810 0.0000 7.7253 -1.1905 2.0620 7.7253 -1.1905 -2.0620 7.7253" Properties=species:S:1:pos:R:3 pbc="T T T"
Cl 0.0000 0.0000 2.4631
Cl 0.0000 0.0000 20.7127
Au 0.0000 0.0000 11.5879
Br 0.0000 0.0000 0.0000
```

Properties
SG = No. 166
Polymorph energy (0 for the lowest one) = 295.3 meV per atom
D(E_F) = 0.09 states/eV/atom

Below is a relaxed structure of AuBr4Cl, with properties calculated at the GGA-PBE level.

The structure in extended XYZ format:
```
6
Lattice="0.0000 4.2920 4.2920 4.2920 0.0000 4.2920 4.2920 4.2920 0.0000" Properties=species:S:1:pos:R:3 pbc="T T T"
Cl 6.4380 6.4380 6.4380
Au 0.0000 0.0000 0.0000
Br 5.3667 5.3667 3.2174
Br 3.2174 3.2174 3.2174
Br 5.3667 3.2174 5.3667
Br 3.2174 5.3667 5.3667
```

Properties
SG = No. 216
Polymorph energy (0 for the lowest one) = 820.1 meV per atom
D(E_F) = 1.09 states/eV/atom

Computed formation energy from raw total energies, in the same sequence as the records: 2.44 -0.34 1.46 0.80 -0.18 3.53 -0.34 -0.48 0.30 -0.78 1.79 -0.19 2.23 0.10 0.84 -0.10 -0.85 -0.18 0.33 4.58 eV per formula unit.
Computed calculated total energy, in the same sequence as the records: -1.5517 -2.1828 -1.7357 -1.9992 -2.2069 -1.9237 -2.0262 -2.4256 -1.9694 -2.3664 -1.6674 -2.3881 -1.6029 -2.1356 -1.9518 -2.1871 -2.3735 -1.9871 -2.0782 -1.2060 eV per atom.